# 1
ErAlPdPt | PBE-GGA | relaxed

a b c (Å): 4.337 4.337 9.131
angles (deg): 90.00 90.00 120.00
Atoms (fractional coordinates):
Er  0.333  0.667  0.246
Er  0.667  0.333  0.754
Al  0.000  0.000  0.000
Al  0.000  0.000  0.500
Pd  0.333  0.667  0.581
Pd  0.667  0.333  0.419
Pt  0.333  0.667  0.914
Pt  0.667  0.333  0.086

Values from the calculation:
Electronic total energy in eV per atom: -5.976
Excess energy over the best structure of this formula in the dataset in eV per atom: 0.012
Spin magnetization in μB per cell: 0.01

=====

# 2
ErAlPdPt | PBE-GGA | relaxed

a b c (Å): 4.343 4.343 9.107
angles (deg): 90.00 90.00 120.00
Atoms (fractional coordinates):
Er  0.333  0.667  0.000
Er  0.667  0.333  0.500
Al  0.000  0.000  0.241
Al  0.000  0.000  0.741
Pd  0.333  0.667  0.334
Pd  0.667  0.333  0.834
Pt  0.333  0.667  0.667
Pt  0.667  0.333  0.167

Values from the calculation:
Electronic total energy in eV per atom: -5.989
Excess energy over the best structure of this formula in the dataset in eV per atom: 0.000
Spin magnetization in μB per cell: 0.00

=====

# 3
ErAlPdPt | PBE-GGA | relaxed

a b c (Å): 4.336 4.336 9.106
angles (deg): 90.00 90.00 120.00
Atoms (fractional coordinates):
Er  0.000  0.000  0.000
Er  0.333  0.667  0.500
Al  0.667  0.333  0.244
Al  0.667  0.333  0.756
Pd  0.000  0.000  0.336
Pd  0.000  0.000  0.664
Pt  0.333  0.667  0.171
Pt  0.333  0.667  0.829

Values from the calculation:
Electronic total energy in eV per atom: -5.981
Excess energy over the best structure of this formula in the dataset in eV per atom: 0.008
Spin magnetization in μB per cell: 0.01

=====

Q: The highest excess energy over the best structure of this formula in the dataset belongs to which entry?
A: number 1

=====

Q: Among the records above, which one has the highest excess energy over the best structure of this formula in the dataset?
A: number 1

=====

Q: Which of these has the lowest spin magnetization?
A: number 2

=====

Copy entry 1 word for word.
ErAlPdPt | PBE-GGA | relaxed

a b c (Å): 4.337 4.337 9.131
angles (deg): 90.00 90.00 120.00
Atoms (fractional coordinates):
Er  0.333  0.667  0.246
Er  0.667  0.333  0.754
Al  0.000  0.000  0.000
Al  0.000  0.000  0.500
Pd  0.333  0.667  0.581
Pd  0.667  0.333  0.419
Pt  0.333  0.667  0.914
Pt  0.667  0.333  0.086

Values from the calculation:
Electronic total energy in eV per atom: -5.976
Excess energy over the best structure of this formula in the dataset in eV per atom: 0.012
Spin magnetization in μB per cell: 0.01